Entry 1:
ScPaTcPd: optimized geometry, GGA-PBE.

Results
DFT formation energy in kcal/mol of atoms: -9.889
Raw total energy in eV/cell: -132.41

a b c (Å): 6.7641 6.7641 6.7641
angles (deg): 90.00 90.00 90.00
Closest atoms and distances in Å follow each position.
Positions (direct):
Sc 0.0000 0.0000 0.0000  4 Pd 2.93, 4 Tc 2.93
Sc 0.0000 0.5000 0.5000  4 Pd 2.93, 4 Tc 2.93
Sc 0.5000 0.0000 0.5000  4 Pd 2.93, 4 Tc 2.93
Sc 0.5000 0.5000 0.0000  4 Pd 2.93, 4 Tc 2.93
Pa 0.0000 0.0000 0.5000  4 Tc 2.93, 4 Pd 2.93
Pa 0.0000 0.5000 0.0000  4 Tc 2.93, 4 Pd 2.93
Pa 0.5000 0.0000 0.0000  4 Tc 2.93, 4 Pd 2.93
Pa 0.5000 0.5000 0.5000  4 Tc 2.93, 4 Pd 2.93
Tc 0.2500 0.2500 0.7500  4 Pa 2.93, 4 Sc 2.93
Tc 0.2500 0.7500 0.2500  4 Sc 2.93, 4 Pa 2.93
Tc 0.7500 0.2500 0.2500  4 Sc 2.93, 4 Pa 2.93
Tc 0.7500 0.7500 0.7500  4 Sc 2.93, 4 Pa 2.93
Pd 0.2500 0.2500 0.2500  4 Pa 2.93, 4 Sc 2.93
Pd 0.2500 0.7500 0.7500  4 Pa 2.93, 4 Sc 2.93
Pd 0.7500 0.2500 0.7500  4 Pa 2.93, 4 Sc 2.93
Pd 0.7500 0.7500 0.2500  4 Pa 2.93, 4 Sc 2.93

=====

Entry 2:
La3Sc2Cd2: optimized geometry, GGA-PBE.

Results
DFT formation energy in kcal/mol of atoms: -1.981
Raw total energy in eV/cell: -59.75

a b c (Å): 5.0900 22.7981 3.5148
angles (deg): 90.00 90.00 90.00
Closest atoms and distances in Å follow each position.
Positions (direct):
La 0.0000 0.0000 0.0000  4 La 3.45-3.51, 8 Cd 3.52
La 0.0000 0.1514 0.0000  6 Sc 3.41-3.52, 3 La 3.45-3.51, 4 Cd 3.56
La 0.0000 0.8486 0.0000  6 Sc 3.41-3.52, 3 La 3.45-3.51, 4 Cd 3.56
La 0.5000 0.3486 0.0000  6 Sc 3.41-3.52, 3 La 3.45-3.51, 4 Cd 3.56
La 0.5000 0.5000 0.0000  4 La 3.45-3.51, 8 Cd 3.52
La 0.5000 0.6514 0.0000  6 Sc 3.41-3.52, 3 La 3.45-3.51, 4 Cd 3.56
Sc 0.0000 0.2853 0.5000  2 Sc 3.01, 1 Cd 3.21
Sc 0.0000 0.7147 0.5000  2 Sc 3.01, 1 Cd 3.21
Sc 0.5000 0.2147 0.5000  2 Sc 3.01, 1 Cd 3.21
Sc 0.5000 0.7853 0.5000  2 Sc 3.01, 1 Cd 3.21
Cd 0.0000 0.4259 0.5000  1 Sc 3.21, 3 Cd 3.38-3.51, 8 La 3.52-3.56
Cd 0.0000 0.5741 0.5000  1 Sc 3.21, 3 Cd 3.38-3.51, 8 La 3.52-3.56
Cd 0.5000 0.0741 0.5000  1 Sc 3.21, 3 Cd 3.38-3.51, 8 La 3.52-3.56
Cd 0.5000 0.9259 0.5000  1 Sc 3.21, 3 Cd 3.38-3.51, 8 La 3.52-3.56

=====

Entry 3:
MgMnW4: optimized geometry, GGA-PBE.

Results
DFT formation energy in kcal/mol of atoms: 12.712
Raw total energy in eV/cell: -59.27

a b c (Å): 5.2898 5.2898 5.2898
angles (deg): 60.00 60.00 60.00
Closest atoms and distances in Å follow each position.
Positions (direct):
Mg 0.0000 0.0000 0.0000  12 W 3.10, 4 Mn 3.24
Mn 0.7500 0.7500 0.7500  12 W 3.10, 4 Mg 3.24
W 0.3742 0.3742 0.3742  6 W 2.63-2.66
W 0.3742 0.3742 0.8773  6 W 2.63-2.66
W 0.3742 0.8773 0.3742  6 W 2.63-2.66
W 0.8773 0.3742 0.3742  6 W 2.63-2.66